Record 1
{"formula": "Pm3SbS2", "functional": "PBE", "state": "optimized geometry", "relative_energy_kj_per_mol_atoms": 21.5, "e_form_raw_ev_per_atom": -1.11, "n_ef_per_ev_fu": 3.63, "sg": "Cmcm (63)", "lattice": [[5.491, -5.578, 0.000], [5.491, 5.578, 0.000], [0.000, 0.000, 6.671]], "species": ["Pm", "Pm", "Pm", "Pm", "Pm", "Pm", "Sb", "Sb", "S", "S", "S", "S"], "fractional_positions": [[0.104, 0.896, 0.750], [0.254, 0.429, 0.750], [0.429, 0.254, 0.250], [0.571, 0.746, 0.750], [0.746, 0.571, 0.250], [0.896, 0.104, 0.250], [0.353, 0.647, 0.250], [0.647, 0.353, 0.750], [0.167, 0.167, 0.000], [0.167, 0.167, 0.500], [0.833, 0.833, 0.000], [0.833, 0.833, 0.500]]}


Record 2
{"formula": "Ce7Hg2C2", "functional": "PBE", "state": "optimized geometry", "dft_energy_ev_per_atom": -5.6388, "n_ef_per_ev_fu": 28.85, "sg": "C2/m (12)", "lattice": [[3.959, -7.168, 0.000], [3.959, 7.168, 0.000], [-1.337, 0.000, 4.887]], "species": ["Ce", "Ce", "Ce", "Ce", "Ce", "Ce", "Ce", "Hg", "Hg", "C", "C"], "fractional_positions": [[0.000, 0.000, 0.000], [0.153, 0.494, 0.178], [0.341, 0.341, 0.676], [0.494, 0.153, 0.178], [0.506, 0.847, 0.822], [0.659, 0.659, 0.324], [0.847, 0.506, 0.822], [0.143, 0.857, 0.500], [0.857, 0.143, 0.500], [0.326, 0.326, 0.174], [0.674, 0.674, 0.826]]}


Calculated density across the listed records, respectively: 5.0, 8.4 g/cm³.